[1]
Density functional theory data (PBE) for a relaxed TbHoHg2 crystal.

Cell lengths 7.446, 7.446, 7.446 Å; angles 90.00, 90.00, 90.00 degrees
Sites, in units of the cell vectors:
Tb  0.000  0.000  0.000
Tb  0.000  0.500  0.500
Tb  0.500  0.000  0.500
Tb  0.500  0.500  0.000
Ho  0.000  0.000  0.500
Ho  0.000  0.500  0.000
Ho  0.500  0.000  0.000
Ho  0.500  0.500  0.500
Hg  0.250  0.250  0.250
Hg  0.250  0.250  0.750
Hg  0.250  0.750  0.250
Hg  0.250  0.750  0.750
Hg  0.750  0.250  0.250
Hg  0.750  0.250  0.750
Hg  0.750  0.750  0.250
Hg  0.750  0.750  0.750

Results
- formation energy from the elements (eV/atom) = -0.477
- space-group type = No. 225

=====

[2]
Density functional theory data (PBE) for a relaxed K7Rb2Pb crystal.

Cell lengths 12.239, 12.239, 13.275 Å; angles 121.01, 121.01, 59.23 degrees
Sites, in units of the cell vectors:
K  0.151  0.602  0.206
K  0.182  0.818  0.750
K  0.202  0.415  0.500
K  0.305  0.535  0.918
K  0.398  0.849  0.294
K  0.415  0.202  0.000
K  0.465  0.695  0.582
K  0.535  0.305  0.418
K  0.585  0.798  0.000
K  0.602  0.151  0.706
K  0.695  0.465  0.082
K  0.798  0.585  0.500
K  0.818  0.182  0.250
K  0.849  0.398  0.794
Rb  0.121  0.161  0.092
Rb  0.161  0.121  0.592
Rb  0.839  0.879  0.408
Rb  0.879  0.839  0.908
Pb  0.493  0.507  0.750
Pb  0.507  0.493  0.250

Results
- formation energy from the elements (eV/atom) = -0.027
- space-group type = No. 15

=====

[3]
Density functional theory data (PBE) for a relaxed MgRhCl2 crystal.

Cell lengths 3.618, 3.618, 10.906 Å; angles 90.00, 90.00, 90.00 degrees
Sites, in units of the cell vectors:
Mg  0.000  0.000  0.000
Mg  0.500  0.500  0.500
Rh  0.000  0.500  0.750
Rh  0.500  0.000  0.250
Cl  0.000  0.000  0.500
Cl  0.000  0.500  0.250
Cl  0.500  0.000  0.750
Cl  0.500  0.500  0.000

Results
- ΔE to the lowest computed polymorph (meV per atom) = 329.5
- space-group type = No. 119
- formation energy without anion corrections (eV/atom) = -0.329

=====

Number 1: energy -46.88 eV per cell. Number 2: energy -27.19 eV per cell. Number 3: energy -27.91 eV per cell.